Record 1
# SiOF2 | Alexandria via LeMat-Bulk | PBE-GGA | relaxed
# Formation energy (no corrections): -0.225 eV/atom
# Excess energy over the best structure of this formula in the dataset: 2778 meV/atom
# Raw total energy: -3.756 eV per atom
data_SiOF2
_chemical_formula_sum 'Si4 O4 F8'
_symmetry_space_group_name_H-M 'F m -3 m'
_symmetry_Int_Tables_number 225
_symmetry_space_group_name_Hall '-F 4 2 3'
_cell_length_a 5.323
_cell_length_b 5.323
_cell_length_c 5.323
_cell_angle_alpha 90.00
_cell_angle_beta 90.00
_cell_angle_gamma 90.00
loop_
_atom_site_label
_atom_site_type_symbol
_atom_site_fract_x
_atom_site_fract_y
_atom_site_fract_z
Si1 Si 0.000 0.000 0.000
O1 O 0.000 0.000 0.500
F1 F 0.250 0.250 0.250



Record 2
# Nb6ReW3 | Alexandria via LeMat-Bulk | PBE-GGA | relaxed
# Raw total energy: -10.952 eV per atom
# Formation energy: 0.2209 eV per atom
data_Nb6ReW3
_chemical_formula_sum 'Nb36 Re6 W18'
_symmetry_space_group_name_H-M 'R -3'
_symmetry_Int_Tables_number 148
_symmetry_space_group_name_Hall '-R 3'
_cell_length_a 11.9172
_cell_length_b 11.9172
_cell_length_c 8.7291
_cell_angle_alpha 90.00
_cell_angle_beta 90.00
_cell_angle_gamma 120.00
loop_
_atom_site_label
_atom_site_type_symbol
_atom_site_fract_x
_atom_site_fract_y
_atom_site_fract_z
Nb1 Nb 0.0485 0.8751 0.2515
Nb2 Nb 0.0700 0.5920 0.6088
Re1 Re 0.0000 0.0000 0.0000
Re2 Re 0.0000 0.0000 0.5000
W1 W 0.0361 0.7935 0.5539



Record 3
# La3Ce2YTe6 | Alexandria via LeMat-Bulk | PBE-GGA | relaxed
# Formation energy (no corrections): -1.472 eV/atom
# Raw total energy: -5.802 eV per atom
data_La3Ce2YTe6
_chemical_formula_sum 'La6 Ce4 Y2 Te12'
_symmetry_space_group_name_H-M 'C 1 2/m 1'
_symmetry_Int_Tables_number 12
_symmetry_space_group_name_Hall '-C 2y'
_cell_length_a 7.783
_cell_length_b 13.510
_cell_length_c 7.876
_cell_angle_alpha 90.00
_cell_angle_beta 109.33
_cell_angle_gamma 90.00
loop_
_atom_site_label
_atom_site_type_symbol
_atom_site_fract_x
_atom_site_fract_y
_atom_site_fract_z
La1 La 0.000 0.000 0.000
La2 La 0.000 0.331 0.000
Ce1 Ce 0.000 0.166 0.500
Y1 Y 0.000 0.500 0.500
Te1 Te 0.243 0.336 0.740
Te2 Te 0.246 0.500 0.257



Record 4
# CeThOsRh | Alexandria via LeMat-Bulk | PBE-GGA | relaxed
# Raw total energy: -8.404 eV per atom
# Formation energy: -0.4203 eV per atom
data_CeThOsRh
_chemical_formula_sum 'Ce4 Th4 Os4 Rh4'
_symmetry_space_group_name_H-M 'F -4 3 m'
_symmetry_Int_Tables_number 216
_symmetry_space_group_name_Hall 'F -4 2 3'
_cell_length_a 7.041
_cell_length_b 7.041
_cell_length_c 7.041
_cell_angle_alpha 90.00
_cell_angle_beta 90.00
_cell_angle_gamma 90.00
loop_
_atom_site_label
_atom_site_type_symbol
_atom_site_fract_x
_atom_site_fract_y
_atom_site_fract_z
Ce1 Ce 0.000 0.000 0.000
Th1 Th 0.000 0.000 0.500
Os1 Os 0.250 0.250 0.750
Rh1 Rh 0.250 0.250 0.250



Record 5
# SrIn3 | Alexandria via LeMat-Bulk | PBE-GGA | relaxed
# Raw total energy: -2.772 eV per atom
# Formation energy: -0.2975 eV per atom
data_SrIn3
_chemical_formula_sum 'Sr1 In3'
_symmetry_space_group_name_H-M 'P m -3 m'
_symmetry_Int_Tables_number 221
_symmetry_space_group_name_Hall '-P 4 2 3'
_cell_length_a 4.869
_cell_length_b 4.869
_cell_length_c 4.869
_cell_angle_alpha 90.00
_cell_angle_beta 90.00
_cell_angle_gamma 90.00
loop_
_atom_site_label
_atom_site_type_symbol
_atom_site_fract_x
_atom_site_fract_y
_atom_site_fract_z
Sr1 Sr 0.000 0.000 0.000
In1 In 0.000 0.500 0.500



Record 6
# Nd3HoTe6 | Alexandria via LeMat-Bulk | PBE-GGA | relaxed
# Formation energy (no corrections): -1.389 eV/atom
# Raw total energy: -5.162 eV per atom
data_Nd3HoTe6
_chemical_formula_sum 'Nd6 Ho2 Te12'
_symmetry_space_group_name_H-M 'P 1 21/c 1'
_symmetry_Int_Tables_number 14
_symmetry_space_group_name_Hall '-P 2ybc'
_cell_length_a 7.450
_cell_length_b 8.297
_cell_length_c 13.417
_cell_angle_alpha 90.00
_cell_angle_beta 122.55
_cell_angle_gamma 90.00
loop_
_atom_site_label
_atom_site_type_symbol
_atom_site_fract_x
_atom_site_fract_y
_atom_site_fract_z
Nd1 Nd 0.000 0.000 0.000
Nd2 Nd 0.306 0.120 0.754
Ho1 Ho 0.500 0.000 0.500
Te1 Te 0.092 0.052 0.256
Te2 Te 0.246 0.673 0.080
Te3 Te 0.421 0.179 0.078



Record 7
# Er3PuRu4 | Alexandria via LeMat-Bulk | PBE-GGA | relaxed
# Raw total energy: -8.500 eV per atom
# Formation energy: -0.3600 eV per atom
data_Er3PuRu4
_chemical_formula_sum 'Er6 Pu2 Ru8'
_symmetry_space_group_name_H-M 'C 1 2/m 1'
_symmetry_Int_Tables_number 12
_symmetry_space_group_name_Hall '-C 2y'
_cell_length_a 14.317
_cell_length_b 4.759
_cell_length_c 4.759
_cell_angle_alpha 90.00
_cell_angle_beta 109.25
_cell_angle_gamma 90.00
loop_
_atom_site_label
_atom_site_type_symbol
_atom_site_fract_x
_atom_site_fract_y
_atom_site_fract_z
Er1 Er 0.000 0.000 0.000
Er2 Er 0.248 0.000 0.248
Pu1 Pu 0.000 0.500 0.500
Ru1 Ru 0.120 0.000 0.620
Ru2 Ru 0.120 0.500 0.121



Record 8
# LiGdCuHg | Alexandria via LeMat-Bulk | PBE-GGA | relaxed
# Raw total energy: -5.322 eV per atom
# Formation energy: -0.2239 eV per atom
data_LiGdCuHg
_chemical_formula_sum 'Li4 Gd4 Cu4 Hg4'
_symmetry_space_group_name_H-M 'F -4 3 m'
_symmetry_Int_Tables_number 216
_symmetry_space_group_name_Hall 'F -4 2 3'
_cell_length_a 6.738
_cell_length_b 6.738
_cell_length_c 6.738
_cell_angle_alpha 90.00
_cell_angle_beta 90.00
_cell_angle_gamma 90.00
loop_
_atom_site_label
_atom_site_type_symbol
_atom_site_fract_x
_atom_site_fract_y
_atom_site_fract_z
Li1 Li 0.000 0.000 0.000
Gd1 Gd 0.250 0.250 0.250
Cu1 Cu 0.000 0.000 0.500
Hg1 Hg 0.250 0.250 0.750